No. 1
ErThTl2 (PBE-GGA, optimized geometry); ΔH_f (0 K) = -0.196 eV/atom
1.0
-3.5589 -2.7873 -0.1108
2.1401 -2.5852 -3.7079
2.2223 -2.9707 3.3538
Tl Th Er
2 1 1
Cartesian
1.1111 -1.4854 1.6769
1.0701 -1.2926 -1.8540
-1.7794 -1.3936 -0.0554
0.4018 -4.1716 -0.2324


No. 2
LaNd2Ru (PBE-GGA, optimized geometry); relative energy among the computed polymorphs = 376 meV per atom; ΔH_f (0 K) = 0.156 eV/atom
1.0
-0.5891 3.4000 1.6294
-1.9654 0.2375 3.2623
8.2360 0.1253 7.1847
La Ru Nd
1 1 2
Cartesian
0.0000 0.0000 0.0000
2.8408 1.8814 6.0382
0.5268 3.2689 6.7749
5.1547 0.4939 5.3015


No. 3
PRuSe2 (PBE-GGA, optimized geometry); E_form (uncorrected) = 599 meV/atom
1.0
1.4936 -2.4921 0.0000
1.4936 2.4921 0.0000
0.0000 0.0000 9.4062
P Se Ru
1 2 1
Cartesian
1.4936 0.0000 4.7031
0.0000 0.0000 2.0588
0.0000 0.0000 7.3474
1.4936 0.0000 0.0000


No. 4
Na2ZrTcO6 (PBE-GGA, optimized geometry); E_form (uncorrected) = -2037 meV/atom
1.0
4.2159 0.0000 0.0000
0.0000 5.6179 0.0000
0.0000 0.0000 5.6179
Zr O Na Tc
1 6 2 1
Cartesian
2.7408 2.8090 2.8090
2.8828 1.3151 4.3029
2.8828 1.3151 1.3151
0.7085 2.8090 2.8090
2.8828 4.3029 1.3151
0.7490 0.0000 0.0000
2.8828 4.3029 4.3029
0.2685 0.0000 2.8090
0.2685 2.8090 0.0000
2.4805 0.0000 0.0000


No. 5
La3Tb3ErS8 (PBE-GGA, optimized geometry); E_form (uncorrected) = -2111 meV/atom
1.0
7.9727 0.0000 0.0001
-3.9863 6.9049 -0.0249
0.0000 -4.5796 6.7109
Tb S La Er
3 8 3 1
Cartesian
-1.9932 1.1627 3.3430
1.9932 1.1627 3.3430
3.9864 -2.2898 3.3555
1.9758 -1.1544 1.8079
5.9969 -1.1544 1.8079
2.0106 3.4798 4.8782
-2.0105 3.4798 4.8781
3.9864 2.3279 1.7954
0.0000 -0.0025 4.8907
3.9864 0.0175 4.9028
0.0000 2.3079 1.7833
1.9932 3.4525 -0.0124
0.0000 0.0000 0.0000
-1.9932 3.4525 -0.0124
0.0000 -2.2898 3.3555


No. 6
CaUSb2 (PBE-GGA, optimized geometry); E_form (uncorrected) = -432 meV/atom; relative energy among the computed polymorphs = 127 meV per atom
1.0
-1.1218 3.0330 -0.6827
-4.5473 -0.9288 3.3455
2.8783 2.0749 4.4882
Sb Ca U
2 1 1
Cartesian
-2.2737 -0.4644 1.6728
1.4391 1.0374 2.2441
-1.3954 2.0895 3.5755
-0.5609 1.5165 -0.3414


No. 7
Er3Ge2Ru (PBE-GGA, optimized geometry); ΔH_f (0 K) = -0.731 eV/atom
1.0
-3.7570 1.5085 0.9900
-3.9452 -3.3967 -9.7959
-2.8807 -10.2739 4.7226
Er Ru Ge
12 4 8
Cartesian
-6.2070 -7.8139 1.5109
-3.7861 -5.0158 -2.3385
-6.9027 -3.3406 -7.9454
-3.6802 -8.8215 3.8622
-3.0364 -5.7522 1.6284
-7.5465 -6.4099 -5.7117
-2.5706 -1.4543 -3.1527
-8.0123 -10.7078 -0.9305
-6.1666 -9.7867 -4.1026
-6.7968 -7.1463 -1.7448
-4.3759 -4.3482 -5.5942
-4.4163 -2.3754 0.0194
-4.2041 -7.3398 -0.3836
-6.3788 -4.8223 -3.6996
-8.7495 -10.7602 -3.6483
-1.8334 -1.4019 -0.4350
-3.5846 0.4145 -1.0752
-5.5057 -5.1364 0.0923
-5.2424 -9.6492 -0.8050
-6.9983 -12.5766 -3.0080
-8.7415 -9.3379 -5.7850
-5.3405 -2.5129 -3.2783
-1.8414 -2.8243 1.7018
-5.0772 -7.0257 -4.1756


No. 8
NbSNCl2 (PBE-GGA, optimized geometry); E_form (uncorrected) = 349 meV/atom; relative energy among the computed polymorphs = 0 meV per atom
1.0
-2.6735 -3.6254 -2.0462
3.9686 -2.9539 0.0486
-1.2052 -1.5481 4.3175
S Cl Nb N
1 2 1 1
Cartesian
-0.6026 -0.7741 2.1588
-1.3367 -1.8127 -1.0231
1.9843 -1.4770 0.0243
0.0000 0.0000 0.0000
0.0450 -4.0637 1.1599


No. 9
Na2AuI (PBE-GGA, optimized geometry); E_form (uncorrected) = -662 meV/atom; relative energy among the computed polymorphs = 19 meV per atom
1.0
-1.5149 3.7498 -1.6655
-4.0625 1.3242 0.9336
0.7547 5.4385 5.8151
I Na Au
1 2 1
Cartesian
-2.4034 5.2676 2.5600
-1.2398 2.5792 1.1917
0.1353 4.5504 4.3791
-2.9713 8.8099 5.3092


No. 10
Pr2SmTh3Se6 (PBE-GGA, optimized geometry); E_form (uncorrected) = -1670 meV/atom
1.0
4.2221 0.0000 0.0000
0.0000 8.4260 0.1862
-2.1111 -2.5466 8.8967
Se Sm Pr Th
6 1 2 3
Cartesian
0.0000 6.0372 6.1407
2.1111 -0.1578 2.9422
2.1111 -0.4691 8.9159
0.0000 1.8024 6.0107
2.1111 4.0770 3.0722
0.0000 6.3485 0.1670
2.1111 0.0000 0.0000
2.1111 3.9213 6.0641
0.0000 1.9581 3.0189
2.1111 4.2130 0.0931
2.1111 -0.2925 5.9352
0.0000 6.1718 3.1477


No. 11
KMn2Re (PBE-GGA, optimized geometry); relative energy among the computed polymorphs = 194 meV per atom; ΔH_f (0 K) = 0.864 eV/atom
1.0
10.2531 -0.0637 -0.0372
9.8557 2.8278 -0.0372
9.8557 1.3547 2.4825
Mn Re K
2 1 1
Cartesian
15.5112 2.1321 1.2465
29.4355 4.0462 2.3655
7.4911 1.0297 0.6020
22.4733 3.0891 1.8060


No. 12
LuThN (PBE-GGA, optimized geometry); E_form (uncorrected) = -956 meV/atom; relative energy among the computed polymorphs = 0 meV per atom
1.0
3.4815 0.0000 0.0000
-1.7407 3.0150 0.0000
0.0000 0.0000 6.2023
Lu Th N
1 1 1
Cartesian
0.0000 2.0100 3.3892
0.0000 0.0000 0.5908
1.7407 1.0050 2.2223


Summary of calculated total energy in eV/atom
-4.38, -5.78, -4.82, -7.17, -6.53, -5.82, -6.10, -4.89, -2.53, -6.46, -7.11, -7.71
(order as listed above)